<w>
# AcTbNdZn | the Alexandria database | PBE | relaxed
# Crystal system: cubic
data_AcTbNdZn
_space_group_name_H-M_alt 'P 1'
_space_group_IT_number 1
_space_group_name_Hall 'P 1'
_cell_length_a 5.594
_cell_length_b 5.594
_cell_length_c 5.594
_cell_angle_alpha 60.00
_cell_angle_beta 60.00
_cell_angle_gamma 60.00
loop_
_atom_site_label
_atom_site_fract_x
_atom_site_fract_y
_atom_site_fract_z
Ac1 0.250 0.250 0.250
Nd1 0.500 0.500 0.500
Tb1 0.000 0.000 0.000
Zn1 0.750 0.750 0.750



<x>
# AcTbNdZn | the Alexandria database | PBE | relaxed
# Crystal system: tetragonal
data_AcTbNdZn
_space_group_name_H-M_alt 'P 1'
_space_group_IT_number 1
_space_group_name_Hall 'P 1'
_cell_length_a 3.723
_cell_length_b 3.723
_cell_length_c 9.011
_cell_angle_alpha 90.00
_cell_angle_beta 90.00
_cell_angle_gamma 90.00
loop_
_atom_site_label
_atom_site_fract_x
_atom_site_fract_y
_atom_site_fract_z
Ac1 0.000 0.000 0.064
Zn1 0.000 0.000 0.582
Tb1 0.500 0.500 0.764
Nd1 0.500 0.500 0.375



Relative energies, unit eV/atom: <w> 0.285; <x> 0.000



<w>
# AcNdTe | the Alexandria database | PBE | relaxed
# Crystal system: trigonal
data_AcNdTe
_space_group_name_H-M_alt 'P 1'
_space_group_IT_number 1
_space_group_name_Hall 'P 1'
_cell_length_a 4.255
_cell_length_b 5.442
_cell_length_c 5.442
_cell_angle_alpha 120.00
_cell_angle_beta 90.00
_cell_angle_gamma 90.00
loop_
_atom_site_label
_atom_site_fract_x
_atom_site_fract_y
_atom_site_fract_z
Nd1 0.167 0.000 0.000
Te1 0.166 0.333 0.667
Ac1 0.667 0.667 0.333



<x>
# AcNdTe | the Alexandria database | PBE | relaxed
# Crystal system: monoclinic
data_AcNdTe
_space_group_name_H-M_alt 'P 1'
_space_group_IT_number 1
_space_group_name_Hall 'P 1'
_cell_length_a 6.371
_cell_length_b 8.625
_cell_length_c 8.691
_cell_angle_alpha 104.34
_cell_angle_beta 90.00
_cell_angle_gamma 90.00
loop_
_atom_site_label
_atom_site_fract_x
_atom_site_fract_y
_atom_site_fract_z
Te1 0.750 0.398 0.092
Te2 0.250 0.102 0.908
Te3 0.250 0.602 0.908
Te4 0.750 0.898 0.092
Nd1 0.250 0.921 0.186
Nd2 0.750 0.579 0.814
Nd3 0.750 0.079 0.814
Nd4 0.250 0.421 0.186
Ac1 0.250 0.278 0.610
Ac2 0.750 0.722 0.390
Ac3 0.750 0.222 0.390
Ac4 0.250 0.778 0.610



<y>
# AcNdTe | the Alexandria database | PBE | relaxed
# Crystal system: tetragonal
data_AcNdTe
_space_group_name_H-M_alt 'P 1'
_space_group_IT_number 1
_space_group_name_Hall 'P 1'
_cell_length_a 4.086
_cell_length_b 4.086
_cell_length_c 7.070
_cell_angle_alpha 106.80
_cell_angle_beta 106.80
_cell_angle_gamma 90.00
loop_
_atom_site_label
_atom_site_fract_x
_atom_site_fract_y
_atom_site_fract_z
Nd1 0.976 0.976 0.953
Ac1 0.272 0.272 0.545
Te1 0.601 0.601 0.203



<z>
# AcNdTe | the Alexandria database | PBE | relaxed
# Crystal system: monoclinic
data_AcNdTe
_space_group_name_H-M_alt 'P 1'
_space_group_IT_number 1
_space_group_name_Hall 'P 1'
_cell_length_a 4.312
_cell_length_b 10.333
_cell_length_c 10.624
_cell_angle_alpha 92.58
_cell_angle_beta 101.71
_cell_angle_gamma 90.00
loop_
_atom_site_label
_atom_site_fract_x
_atom_site_fract_y
_atom_site_fract_z
Te1 0.670 0.558 0.340
Te2 0.415 0.854 0.830
Te3 0.585 0.146 0.170
Te4 0.330 0.442 0.660
Nd1 0.257 0.707 0.514
Nd2 0.818 0.970 0.635
Nd3 0.743 0.293 0.486
Nd4 0.182 0.030 0.365
Ac1 0.078 0.398 0.156
Ac2 0.922 0.602 0.844
Ac3 0.577 0.805 0.153
Ac4 0.423 0.195 0.847



Relative energies, unit eV/atom: <w> 0.238; <x> 0.014; <y> 0.039; <z> 0.000



<w>
# Ac2NdTe3 | the Alexandria database | PBE | relaxed
# Crystal system: orthorhombic
data_Ac2NdTe3
_space_group_name_H-M_alt 'P 1'
_space_group_IT_number 1
_space_group_name_Hall 'P 1'
_cell_length_a 8.100
_cell_length_b 8.100
_cell_length_c 14.553
_cell_angle_alpha 100.90
_cell_angle_beta 100.90
_cell_angle_gamma 108.68
loop_
_atom_site_label
_atom_site_fract_x
_atom_site_fract_y
_atom_site_fract_z
Te1 0.165 0.675 0.829
Te2 0.846 0.336 0.171
Te3 0.404 0.414 0.329
Te4 0.325 0.835 0.171
Te5 0.085 0.075 0.671
Te6 0.238 0.238 0.000
Te7 0.762 0.762 0.000
Te8 0.925 0.915 0.329
Te9 0.586 0.596 0.671
Te10 0.664 0.154 0.829
Te11 0.488 0.988 0.500
Te12 0.012 0.512 0.500
Nd1 0.333 0.833 0.666
Nd2 0.917 0.917 0.834
Nd3 0.083 0.083 0.166
Nd4 0.167 0.667 0.334
Ac1 0.749 0.749 0.497
Ac2 0.832 0.332 0.663
Ac3 0.999 0.499 0.997
Ac4 0.668 0.168 0.337
Ac5 0.582 0.582 0.163
Ac6 0.251 0.251 0.503
Ac7 0.418 0.418 0.837
Ac8 0.501 0.001 0.003



<x>
# Ac2NdTe3 | the Alexandria database | PBE | relaxed
# Crystal system: orthorhombic
data_Ac2NdTe3
_space_group_name_H-M_alt 'P 1'
_space_group_IT_number 1
_space_group_name_Hall 'P 1'
_cell_length_a 4.668
_cell_length_b 6.593
_cell_length_c 8.052
_cell_angle_alpha 114.17
_cell_angle_beta 106.85
_cell_angle_gamma 90.00
loop_
_atom_site_label
_atom_site_fract_x
_atom_site_fract_y
_atom_site_fract_z
Te1 0.500 0.000 0.500
Te2 0.841 0.341 0.182
Te3 0.159 0.659 0.818
Nd1 0.500 0.500 0.500
Ac1 0.169 0.169 0.839
Ac2 0.831 0.831 0.161



Relative energies, unit eV/atom: <w> 0.000; <x> 0.007



<w>
# AcNd4Te5 | the Alexandria database | PBE | relaxed
# Crystal system: tetragonal
data_AcNd4Te5
_space_group_name_H-M_alt 'P 1'
_space_group_IT_number 1
_space_group_name_Hall 'P 1'
_cell_length_a 4.552
_cell_length_b 4.552
_cell_length_c 16.421
_cell_angle_alpha 97.97
_cell_angle_beta 97.97
_cell_angle_gamma 90.00
loop_
_atom_site_label
_atom_site_fract_x
_atom_site_fract_y
_atom_site_fract_z
Te1 0.102 0.102 0.204
Te2 0.898 0.898 0.796
Te3 0.299 0.299 0.598
Te4 0.701 0.701 0.402
Te5 0.500 0.500 0.000
Nd1 0.199 0.199 0.399
Nd2 0.801 0.801 0.601
Nd3 0.602 0.602 0.205
Nd4 0.398 0.398 0.795
Ac1 0.000 0.000 0.000



<x>
# AcNd4Te5 | the Alexandria database | PBE | relaxed
# Crystal system: monoclinic
data_AcNd4Te5
_space_group_name_H-M_alt 'P 1'
_space_group_IT_number 1
_space_group_name_Hall 'P 1'
_cell_length_a 4.544
_cell_length_b 7.882
_cell_length_c 10.156
_cell_angle_alpha 75.10
_cell_angle_beta 77.07
_cell_angle_gamma 73.25
loop_
_atom_site_label
_atom_site_fract_x
_atom_site_fract_y
_atom_site_fract_z
Te1 0.608 0.682 0.102
Te2 0.202 0.906 0.690
Te3 0.798 0.094 0.310
Te4 0.000 0.500 0.500
Te5 0.392 0.318 0.898
Nd1 0.799 0.610 0.791
Nd2 0.201 0.390 0.209
Nd3 0.404 0.793 0.399
Nd4 0.596 0.207 0.601
Ac1 0.000 0.000 0.000



Relative energies, unit eV/atom: <w> 0.014; <x> 0.000



<w>
# Ac2NdTe4 | the Alexandria database | PBE | relaxed
# Crystal system: monoclinic
data_Ac2NdTe4
_space_group_name_H-M_alt 'P 1'
_space_group_IT_number 1
_space_group_name_Hall 'P 1'
_cell_length_a 4.408
_cell_length_b 8.032
_cell_length_c 8.614
_cell_angle_alpha 69.67
_cell_angle_beta 75.18
_cell_angle_gamma 74.07
loop_
_atom_site_label
_atom_site_fract_x
_atom_site_fract_y
_atom_site_fract_z
Ac1 0.640 0.426 0.295
Ac2 0.360 0.574 0.705
Te1 0.669 0.748 0.913
Te2 0.060 0.257 0.624
Te3 0.940 0.743 0.376
Te4 0.331 0.252 0.087
Nd1 0.000 0.000 0.000



<x>
# Ac2NdTe4 | the Alexandria database | PBE | relaxed
# Crystal system: orthorhombic
data_Ac2NdTe4
_space_group_name_H-M_alt 'P 1'
_space_group_IT_number 1
_space_group_name_Hall 'P 1'
_cell_length_a 4.475
_cell_length_b 8.153
_cell_length_c 15.674
_cell_angle_alpha 90.00
_cell_angle_beta 90.00
_cell_angle_gamma 105.93
loop_
_atom_site_label
_atom_site_fract_x
_atom_site_fract_y
_atom_site_fract_z
Nd1 0.371 0.742 0.250
Nd2 0.629 0.258 0.750
Te1 0.782 0.565 0.374
Te2 0.982 0.964 0.750
Te3 0.218 0.435 0.874
Te4 0.782 0.565 0.126
Te5 0.500 0.000 0.500
Te6 0.218 0.435 0.626
Te7 0.500 0.000 0.000
Te8 0.018 0.036 0.250
Ac1 0.132 0.264 0.425
Ac2 0.132 0.264 0.075
Ac3 0.868 0.736 0.925
Ac4 0.868 0.736 0.575



Relative energies, unit eV/atom: <w> 0.000; <x> 0.046



<w>
# AcNdTh2 | the Alexandria database | PBE | relaxed
# Crystal system: trigonal
data_AcNdTh2
_space_group_name_H-M_alt 'P 1'
_space_group_IT_number 1
_space_group_name_Hall 'P 1'
_cell_length_a 3.609
_cell_length_b 3.609
_cell_length_c 13.064
_cell_angle_alpha 82.06
_cell_angle_beta 82.06
_cell_angle_gamma 60.00
loop_
_atom_site_label
_atom_site_fract_x
_atom_site_fract_y
_atom_site_fract_z
Th1 0.090 0.090 0.729
Th2 0.910 0.910 0.271
Nd1 0.500 0.500 0.500
Ac1 0.000 0.000 0.000



<x>
# AcNdTh2 | the Alexandria database | PBE | relaxed
# Crystal system: tetragonal
data_AcNdTh2
_space_group_name_H-M_alt 'P 1'
_space_group_IT_number 1
_space_group_name_Hall 'P 1'
_cell_length_a 4.349
_cell_length_b 4.349
_cell_length_c 7.555
_cell_angle_alpha 90.00
_cell_angle_beta 90.00
_cell_angle_gamma 90.00
loop_
_atom_site_label
_atom_site_fract_x
_atom_site_fract_y
_atom_site_fract_z
Th1 0.000 0.000 0.779
Th2 0.000 0.000 0.221
Nd1 0.500 0.500 0.000
Ac1 0.500 0.500 0.500



Relative energies, unit eV/atom: <w> 0.046; <x> 0.000



<w>
# AcNdTh2 | the Alexandria database | PBE | relaxed
# Crystal system: tetragonal
data_AcNdTh2
_space_group_name_H-M_alt 'P 1'
_space_group_IT_number 1
_space_group_name_Hall 'P 1'
_cell_length_a 5.299
_cell_length_b 5.163
_cell_length_c 5.163
_cell_angle_alpha 90.00
_cell_angle_beta 90.00
_cell_angle_gamma 90.00
loop_
_atom_site_label
_atom_site_fract_x
_atom_site_fract_y
_atom_site_fract_z
Ac1 0.500 0.500 0.500
Nd1 0.500 0.000 0.000
Th1 0.000 0.000 0.500
Th2 0.000 0.500 0.000



<x>
# AcNdTh2 | the Alexandria database | PBE | relaxed
# Crystal system: trigonal
data_AcNdTh2
_space_group_name_H-M_alt 'P 1'
_space_group_IT_number 1
_space_group_name_Hall 'P 1'
_cell_length_a 3.684
_cell_length_b 3.684
_cell_length_c 12.285
_cell_angle_alpha 81.38
_cell_angle_beta 81.38
_cell_angle_gamma 60.00
loop_
_atom_site_label
_atom_site_fract_x
_atom_site_fract_y
_atom_site_fract_z
Nd1 0.668 0.668 0.996
Th1 0.252 0.252 0.245
Th2 0.081 0.081 0.756
Ac1 0.499 0.499 0.503



Relative energies, unit eV/atom: <w> 0.018; <x> 0.000



<w>
# AcNdTl | the Alexandria database | PBE | relaxed
# Crystal system: trigonal
data_AcNdTl
_space_group_name_H-M_alt 'P 1'
_space_group_IT_number 1
_space_group_name_Hall 'P 1'
_cell_length_a 4.055
_cell_length_b 5.526
_cell_length_c 5.526
_cell_angle_alpha 120.00
_cell_angle_beta 90.00
_cell_angle_gamma 90.00
loop_
_atom_site_label
_atom_site_fract_x
_atom_site_fract_y
_atom_site_fract_z
Tl1 0.774 0.667 0.333
Ac1 0.346 0.333 0.667
Nd1 0.880 0.000 0.000



<x>
# AcNdTl | the Alexandria database | PBE | relaxed
# Crystal system: tetragonal
data_AcNdTl
_space_group_name_H-M_alt 'P 1'
_space_group_IT_number 1
_space_group_name_Hall 'P 1'
_cell_length_a 4.989
_cell_length_b 4.989
_cell_length_c 8.717
_cell_angle_alpha 90.00
_cell_angle_beta 90.00
_cell_angle_gamma 90.00
loop_
_atom_site_label
_atom_site_fract_x
_atom_site_fract_y
_atom_site_fract_z
Nd1 0.314 0.866 0.920
Nd2 0.814 0.366 0.920
Tl1 0.314 0.366 0.662
Tl2 0.814 0.866 0.177
Ac1 0.814 0.866 0.565
Ac2 0.314 0.366 0.274



Relative energies, unit eV/atom: <w> 0.096; <x> 0.000